(1)
## Ac2UVO8 (GGA+U)

Data for Ac2UVO8 after structural relaxation.

Results
As for the crystal system: triclinic. The density of states at the Fermi level comes out at 0.0000 states/eV per atom. The spin magnetization comes out at 0.9 μB/f.u.

The structure in POSCAR format:
```
Ac2UVO8
1.0
-3.320 1.095 2.524
0.589 -5.305 1.650
5.384 1.045 5.860
Ac U V O
2 1 1 8
direct
0.479 0.538 0.743
0.521 0.462 0.257
0.000 0.000 0.000
0.000 0.000 0.500
0.072 0.717 0.177
0.583 0.785 0.979
0.965 0.165 0.273
0.928 0.283 0.823
0.417 0.215 0.021
0.035 0.835 0.727
0.663 0.765 0.465
0.337 0.235 0.535
```

(2)
## AcU2VO8 (GGA+U)

Data for AcU2VO8 after structural relaxation.

Results
As for the crystal system: monoclinic. The density of states at the Fermi level comes out at 0.4316 states/eV per atom. The spin magnetization comes out at 4.0 μB/f.u.

The structure in POSCAR format:
```
AcU2VO8
1.0
5.084 0.114 -0.003
0.174 5.086 -0.005
0.004 0.007 7.098
Ac U V O
1 2 1 8
direct
0.000 0.000 0.500
0.500 0.500 0.762
0.500 0.500 0.238
0.000 0.000 0.000
0.198 0.800 0.211
0.687 0.688 0.000
0.802 0.200 0.211
0.802 0.200 0.789
0.313 0.312 0.000
0.198 0.800 0.789
0.668 0.671 0.500
0.332 0.329 0.500
```

Taking the records one at a time from the top gives VASP energy values of -8.45 -9.13 eV/atom.